# Pt | the Open Quantum Materials Database | PBE-GGA | optimized geometry
data_Pt
_chemical_formula_sum 'Pt9'
_cell_length_a 2.7600
_cell_length_b 2.7600
_cell_length_c 32.3656
_cell_angle_alpha 90.00
_cell_angle_beta 90.00
_cell_angle_gamma 120.00
_space_group_name_H-M_alt 'P -3 m 1'
_space_group_IT_number 164
_space_group_name_Hall '-P 3 2"'
loop_
_atom_site_label
_atom_site_fract_x
_atom_site_fract_y
_atom_site_fract_z
Pt1 0.0000 0.0000 0.0000
Pt2 0.0000 0.0000 0.2149
Pt3 0.3333 0.6667 0.1431
Pt4 0.3333 0.6667 0.7122
Pt5 0.3333 0.6667 0.9284
# Crystal system: trigonal
# Energy relative to the lowest polymorph listed for this composition (meV per atom): 136
# DFT formation energy (meV per atom): 136

---

# GdF3 | the Open Quantum Materials Database | PBE-GGA | optimized geometry
data_GdF3
_chemical_formula_sum 'Gd4 F12'
_cell_length_a 6.575
_cell_length_b 10.917
_cell_length_c 3.924
_cell_angle_alpha 90.00
_cell_angle_beta 124.86
_cell_angle_gamma 90.00
_space_group_name_H-M_alt 'C 1 2/m 1'
_space_group_IT_number 12
loop_
_space_group_symop_operation_xyz
'x,y,z'
'-x,-y,-z'
'-x,y,-z'
'x,-y,z'
'x+1/2,y+1/2,z'
'-x+1/2,-y+1/2,-z'
'-x+1/2,y+1/2,-z'
'x+1/2,-y+1/2,z'
loop_
_atom_site_label
_atom_site_fract_x
_atom_site_fract_y
_atom_site_fract_z
Gd1 0.000 0.162 0.000
F1 0.232 0.175 0.728
F2 0.240 0.000 0.240
# Crystal system: monoclinic

---

no.,calculated volume (A^3/atom),uncorrected energy (Ry/atom)
1,23.7,-0.4351
2,14.4,-0.4846